[1]
TlCuMoBr6: optimized geometry, PBE.

abc: 6.8205 6.8204 7.3452
angles: 90.02 89.98 59.96
Closest atoms and distances in Å follow each position.
Positions (direct):
Tl: 0.0000 0.0000 0.0000  6 Br 3.34
Cu: 0.6667 0.6667 0.5000  6 Br 2.65
Mo: 0.3334 0.3334 0.5000  6 Br 2.58
Br: 0.0076 0.3641 0.3008  1 Mo 2.58, 1 Cu 2.65
Br: 0.3641 0.0076 0.6992  1 Mo 2.58, 1 Cu 2.65
Br: 0.6283 0.3638 0.6994  1 Mo 2.58, 1 Cu 2.65
Br: 0.0077 0.6284 0.6998  1 Mo 2.58, 1 Cu 2.65
Br: 0.3638 0.6283 0.3005  1 Mo 2.58, 1 Cu 2.65
Br: 0.6284 0.0077 0.3002  1 Mo 2.58, 1 Cu 2.65

Computed properties:
D(E_F), states/eV/cell: 6.51
Raw formation energy, eV per atom: -0.511

[2]
TlCuMo2Br: optimized geometry, PBE.

abc: 5.4448 4.8587 5.4448
angles: 90.00 90.00 90.00
Closest atoms and distances in Å follow each position.
Positions (direct):
Tl: 0.0000 0.0000 0.0000  2 Cu 2.43
Cu: 0.0000 0.5000 0.0000  2 Tl 2.43
Mo: 0.0000 0.0000 0.5000  2 Tl 2.72
Mo: 0.5000 0.0000 0.0000  2 Tl 2.72
Br: 0.5000 0.5000 0.5000  8 Mo 3.65, 4 Cu 3.85

Computed properties:
D(E_F), states/eV/cell: 3.31
Raw formation energy, eV per atom: 1.850

[3]
CuBrN: optimized geometry, PBE.

abc: 5.5426 5.4408 9.8313
angles: 90.00 106.40 90.00
Closest atoms and distances in Å follow each position.
Positions (direct):
Cu: 0.0049 0.7501 0.0000  4 Br 2.51-2.54, 4 Cu 2.72-2.77
Cu: 0.5049 0.7499 0.0000  4 Br 2.51-2.54, 4 Cu 2.72-2.77
Cu: 0.4951 0.2501 0.0000  4 Br 2.51-2.54, 4 Cu 2.72-2.77
Cu: 0.9951 0.2499 0.0000  4 Br 2.51-2.54, 4 Cu 2.72-2.77
Br: 0.8357 0.4999 0.1709  4 Cu 2.51-2.54
Br: 0.3357 0.0001 0.1709  4 Cu 2.51-2.54
Br: 0.6643 0.9999 0.8291  4 Cu 2.51-2.54
Br: 0.1643 0.5001 0.8291  4 Cu 2.51-2.54
N: 0.9892 0.1018 0.4997  1 N 1.11
N: 0.4892 0.3982 0.4997  1 N 1.11
N: 0.5108 0.6018 0.5003  1 N 1.11
N: 0.0108 0.8982 0.5003  1 N 1.11

Computed properties:
D(E_F), states/eV/cell: 0.00
Raw formation energy, eV per atom: -0.153
Excess energy over the best structure of this formula in the dataset, meV per atom: 5

[4]
CuBr3N: optimized geometry, PBE.

abc: 4.6783 4.6783 4.6783
angles: 90.00 90.00 90.00
Closest atoms and distances in Å follow each position.
Positions (direct):
Cu: 0.5000 0.5000 0.5000  12 Br 3.31
Br: 0.0000 0.5000 0.0000  2 N 2.34
Br: 0.0000 0.0000 0.5000  2 N 2.34
Br: 0.5000 0.0000 0.0000  2 N 2.34
N: 0.0000 0.0000 0.0000  6 Br 2.34

Computed properties:
D(E_F), states/eV/cell: 2.54
Raw formation energy, eV per atom: 1.102
Excess energy over the best structure of this formula in the dataset, meV per atom: 0

[5]
CuBr2N2: optimized geometry, PBE.

abc: 5.3129 5.3129 4.1215
angles: 93.99 93.99 92.78
Closest atoms and distances in Å follow each position.
Positions (direct):
Cu: 0.0000 0.0000 0.0000  2 N 1.88
Br: 0.2561 0.2561 0.7102  1 Cu 2.32
Br: 0.7439 0.7439 0.2898  1 Cu 2.32
N: 0.2444 0.7556 0.0000  1 Cu 1.88
N: 0.7556 0.2444 0.0000  1 Cu 1.88

Computed properties:
D(E_F), states/eV/cell: 1.92
Raw formation energy, eV per atom: 1.684
Excess energy over the best structure of this formula in the dataset, meV per atom: 1850

[6]
Cu2Br3N2: optimized geometry, PBE.

abc: 7.3414 3.5341 10.2005
angles: 95.40 92.15 139.33
Closest atoms and distances in Å follow each position.
Positions (direct):
Cu: 0.0387 0.1217 0.2378  2 N 1.86
Cu: 0.9613 0.8783 0.7622  2 N 1.86
Br: 0.3476 0.9598 0.6444  1 N 1.90
Br: 0.0000 0.0000 0.0000  2 Cu 2.39
Br: 0.6524 0.0402 0.3556  1 N 1.90
N: 0.9966 0.4190 0.7093  2 Cu 1.86, 1 Br 1.90
N: 0.0034 0.5810 0.2907  2 Cu 1.86, 1 Br 1.90

Computed properties:
D(E_F), states/eV/cell: 3.49
Raw formation energy, eV per atom: 0.655

[7]
CuBr4N2: optimized geometry, PBE.

abc: 3.6016 10.3265 6.8598
angles: 89.05 118.31 102.13
Closest atoms and distances in Å follow each position.
Positions (direct):
Cu: 0.0000 0.0000 0.0000  4 Br 2.45
Br: 0.0771 0.6703 0.2535  1 N 1.76
Br: 0.9229 0.3297 0.7465  1 N 1.76
Br: 0.2477 0.8717 0.8063  2 Cu 2.45
Br: 0.7523 0.1283 0.1937  2 Cu 2.45
N: 0.1610 0.3642 0.5727  1 Br 1.76
N: 0.8390 0.6358 0.4273  1 Br 1.76

Computed properties:
D(E_F), states/eV/cell: 3.15
Raw formation energy, eV per atom: 0.932

[8]
CuBr3N2: optimized geometry, PBE.

abc: 3.3518 12.9666 11.6665
angles: 90.00 90.00 90.00
Closest atoms and distances in Å follow each position.
Positions (direct):
Cu: 0.2500 0.3999 0.2498  2 Br 2.32, 2 N 2.48
Cu: 0.7500 0.6001 0.7502  2 Br 2.32, 2 N 2.48
Cu: 0.7500 0.8999 0.2502  2 Br 2.32, 2 N 2.48
Cu: 0.2500 0.1001 0.7498  2 Br 2.32, 2 N 2.48
Br: 0.2500 0.3636 0.4445  1 Cu 2.32, 2 N 2.32
Br: 0.7500 0.6364 0.5555  1 Cu 2.32, 2 N 2.32
Br: 0.7500 0.8636 0.0555  1 Cu 2.32, 2 N 2.32
Br: 0.2500 0.1364 0.9445  1 Cu 2.32, 2 N 2.32
Br: 0.2500 0.3622 0.0553  2 N 2.31, 1 Cu 2.32
Br: 0.7500 0.6378 0.9447  2 N 2.31, 1 Cu 2.32
Br: 0.7500 0.8622 0.4447  2 N 2.31, 1 Cu 2.32
Br: 0.2500 0.1378 0.5553  2 N 2.31, 1 Cu 2.32
Br: 0.2500 0.6189 0.2508  2 N 1.96
Br: 0.7500 0.3811 0.7492  2 N 1.96
Br: 0.7500 0.1189 0.2492  2 N 1.96
Br: 0.2500 0.8811 0.7508  2 N 1.96
N: 0.2500 0.0412 0.2531  2 Br 1.96
N: 0.7500 0.9588 0.7469  2 Br 1.96
N: 0.7500 0.5412 0.2469  2 Br 1.96
N: 0.2500 0.4588 0.7531  2 Br 1.96
N: 0.2500 0.7504 0.9998  4 Br 2.31-2.32
N: 0.7500 0.2496 0.0002  4 Br 2.31-2.32
N: 0.7500 0.2504 0.5002  4 Br 2.31-2.32
N: 0.2500 0.7496 0.4998  4 Br 2.31-2.32

Computed properties:
D(E_F), states/eV/cell: 5.49
Raw formation energy, eV per atom: 1.357
Excess energy over the best structure of this formula in the dataset, meV per atom: 450

[9]
CuBr2N2: optimized geometry, PBE.

abc: 3.5046 4.2389 10.2799
angles: 94.55 90.00 114.42
Closest atoms and distances in Å follow each position.
Positions (direct):
Cu: 0.0000 0.0000 0.0000  4 Br 2.43
Br: 0.6191 0.2383 0.1445  2 Cu 2.43
Br: 0.3809 0.7617 0.8555  2 Cu 2.43
N: 0.9413 0.8826 0.4645  1 N 1.11
N: 0.0587 0.1174 0.5355  1 N 1.11

Computed properties:
D(E_F), states/eV/cell: 1.84
Raw formation energy, eV per atom: -0.167
Excess energy over the best structure of this formula in the dataset, meV per atom: 0

[10]
Cu3BrN: optimized geometry, PBE.

abc: 4.0678 4.0678 4.0678
angles: 90.00 90.00 90.00
Closest atoms and distances in Å follow each position.
Positions (direct):
Cu: 0.0000 0.5000 0.0000  2 N 2.03
Cu: 0.0000 0.0000 0.5000  2 N 2.03
Cu: 0.5000 0.0000 0.0000  2 N 2.03
Br: 0.5000 0.5000 0.5000  12 Cu 2.88
N: 0.0000 0.0000 0.0000  6 Cu 2.03

Computed properties:
D(E_F), states/eV/cell: 5.22
Raw formation energy, eV per atom: 0.370
Excess energy over the best structure of this formula in the dataset, meV per atom: 0

[11]
Cu3BrN: optimized geometry, PBE.

abc: 4.5389 4.5389 4.5389
angles: 90.00 90.00 90.00
Closest atoms and distances in Å follow each position.
Positions (direct):
Cu: 0.0000 0.5000 0.0000  2 Br 2.27
Cu: 0.0000 0.0000 0.5000  2 Br 2.27
Cu: 0.5000 0.0000 0.0000  2 Br 2.27
Br: 0.0000 0.0000 0.0000  6 Cu 2.27
N: 0.5000 0.5000 0.5000  12 Cu 3.21

Computed properties:
D(E_F), states/eV/cell: 11.21
Raw formation energy, eV per atom: 1.835
Excess energy over the best structure of this formula in the dataset, meV per atom: 1465

[12]
Cu2BrN: optimized geometry, PBE.

abc: 5.1419 5.1419 6.0694
angles: 64.94 64.94 90.00
Closest atoms and distances in Å follow each position.
Positions (direct):
Cu: 0.4992 0.1250 0.2500  2 N 1.88
Cu: 0.2508 0.6250 0.2500  2 N 1.88
Cu: 0.3750 0.5008 0.7500  2 N 1.88
Cu: 0.8750 0.7492 0.7500  2 N 1.88
Br: 0.0000 0.0000 0.0000  4 Cu 2.62
Br: 0.7500 0.2500 0.5000  4 Cu 2.62
N: 0.5000 0.5000 0.0000  4 Cu 1.88
N: 0.2500 0.7500 0.5000  4 Cu 1.88

Computed properties:
D(E_F), states/eV/cell: 3.43
Raw formation energy, eV per atom: 0.322
Excess energy over the best structure of this formula in the dataset, meV per atom: 0

[13]
CuBrN3: optimized geometry, PBE.

abc: 3.8165 3.8165 3.8165
angles: 90.00 90.00 90.00
Closest atoms and distances in Å follow each position.
Positions (direct):
Cu: 0.0000 0.0000 0.0000  6 N 1.91
Br: 0.5000 0.5000 0.5000  12 N 2.70
N: 0.0000 0.5000 0.0000  2 Cu 1.91
N: 0.0000 0.0000 0.5000  2 Cu 1.91
N: 0.5000 0.0000 0.0000  2 Cu 1.91

Computed properties:
D(E_F), states/eV/cell: 4.68
Raw formation energy, eV per atom: 2.470

[14]
CuBrN: optimized geometry, PBE.

abc: 4.1583 6.7823 10.3796
angles: 89.81 90.00 90.00
Closest atoms and distances in Å follow each position.
Positions (direct):
Br: 0.5037 0.6463 0.6776  3 Cu 2.40-2.54
Br: 0.0037 0.8537 0.3224  3 Cu 2.40-2.54
Br: 0.4963 0.3537 0.3224  3 Cu 2.40-2.54
Br: 0.9963 0.1463 0.6776  3 Cu 2.40-2.54
N: 0.4009 0.9548 0.9795  1 N 1.11
N: 0.9009 0.5452 0.0205  1 N 1.11
N: 0.5991 0.0452 0.0205  1 N 1.11
N: 0.0991 0.4548 0.9795  1 N 1.11
Cu: 0.3201 0.6441 0.4587  3 Br 2.40-2.54, 3 Cu 2.60-2.67
Cu: 0.8201 0.8559 0.5413  3 Br 2.40-2.54, 3 Cu 2.60-2.67
Cu: 0.6799 0.3559 0.5413  3 Br 2.40-2.54, 3 Cu 2.60-2.67
Cu: 0.1799 0.1441 0.4587  3 Br 2.40-2.54, 3 Cu 2.60-2.67

Computed properties:
D(E_F), states/eV/cell: 0.00
Raw formation energy, eV per atom: -0.158
Excess energy over the best structure of this formula in the dataset, meV per atom: 0

[15]
CuBrN3: optimized geometry, PBE.

abc: 3.8697 3.8697 3.8697
angles: 90.00 90.00 90.00
Closest atoms and distances in Å follow each position.
Positions (direct):
Cu: 0.5000 0.5000 0.5000  12 N 2.74
Br: 0.0000 0.0000 0.0000  6 N 1.93
N: 0.0000 0.5000 0.0000  2 Br 1.93
N: 0.0000 0.0000 0.5000  2 Br 1.93
N: 0.5000 0.0000 0.0000  2 Br 1.93

Computed properties:
D(E_F), states/eV/cell: 6.21
Raw formation energy, eV per atom: 2.892

[16]
Cu2BrN: optimized geometry, PBE.

abc: 4.2733 4.2733 4.2733
angles: 60.00 60.00 60.00
Closest atoms and distances in Å follow each position.
Positions (direct):
Cu: 0.2500 0.2500 0.2500  4 Br 2.62, 4 N 2.62
Cu: 0.7500 0.7500 0.7500  4 N 2.62, 4 Br 2.62
Br: 0.5000 0.5000 0.5000  8 Cu 2.62
N: 0.0000 0.0000 0.0000  8 Cu 2.62

Computed properties:
D(E_F), states/eV/cell: 1.31
Raw formation energy, eV per atom: 1.253
Excess energy over the best structure of this formula in the dataset, meV per atom: 931

[17]
CuBr3N: optimized geometry, PBE.

abc: 4.9168 4.9168 4.9168
angles: 90.00 90.00 90.00
Closest atoms and distances in Å follow each position.
Positions (direct):
Cu: 0.0000 0.0000 0.0000  6 Br 2.46
Br: 0.0000 0.5000 0.0000  2 Cu 2.46
Br: 0.0000 0.0000 0.5000  2 Cu 2.46
Br: 0.5000 0.0000 0.0000  2 Cu 2.46
N: 0.5000 0.5000 0.5000  12 Br 3.48

Computed properties:
D(E_F), states/eV/cell: 6.28
Raw formation energy, eV per atom: 1.441
Excess energy over the best structure of this formula in the dataset, meV per atom: 339

[18]
CuBr3N2: optimized geometry, PBE.

abc: 10.8282 10.3748 9.4077
angles: 72.90 18.79 66.84
Closest atoms and distances in Å follow each position.
Positions (direct):
Cu: 0.9860 0.7130 0.7795  2 N 1.82
Cu: 0.0140 0.2870 0.2205  2 N 1.82
Br: 0.4692 0.2418 0.0710  1 N 1.87
Br: 0.5308 0.7582 0.9290  1 N 1.87
Br: 0.1808 0.9221 0.6603  1 N 1.94
Br: 0.8854 0.5973 0.3112  1 N 1.88
Br: 0.1146 0.4027 0.6888  1 N 1.88
Br: 0.8192 0.0779 0.3397  1 N 1.94
N: 0.6193 0.7779 0.6325  2 Br 1.87-1.88
N: 0.5532 0.2625 0.6654  2 Cu 1.82, 1 Br 1.94
N: 0.4468 0.7375 0.3346  2 Cu 1.82, 1 Br 1.94
N: 0.3807 0.2221 0.3675  2 Br 1.87-1.88

Computed properties:
D(E_F), states/eV/cell: 4.01
Raw formation energy, eV per atom: 0.907
Excess energy over the best structure of this formula in the dataset, meV per atom: 0

[19]
Na2CuBrN: optimized geometry, PBE.

abc: 5.5122 5.5122 3.4786
angles: 90.00 90.00 90.00
Closest atoms and distances in Å follow each position.
Positions (direct):
Na: 0.0000 0.5000 0.0000  2 Cu 2.76
Na: 0.5000 0.0000 0.0000  2 Cu 2.76
Cu: 0.0000 0.0000 0.0000  2 N 1.74
Br: 0.5000 0.5000 0.5000  8 Na 3.26, 2 Br 3.48
N: 0.0000 0.0000 0.5000  2 Cu 1.74

Computed properties:
D(E_F), states/eV/cell: 1.55
Raw formation energy, eV per atom: -0.275

[20]
NaCuBr2N: optimized geometry, PBE.

abc: 4.8639 5.9081 4.8639
angles: 90.00 90.00 90.00
Closest atoms and distances in Å follow each position.
Positions (direct):
Na: 0.0000 0.5000 0.0000  2 Cu 2.95
Cu: 0.0000 0.0000 0.0000  4 Br 2.43
Br: 0.0000 0.0000 0.5000  2 Cu 2.43
Br: 0.5000 0.0000 0.0000  2 Cu 2.43
N: 0.5000 0.5000 0.5000  4 Na 3.44, 8 Br 3.83

Computed properties:
D(E_F), states/eV/cell: 2.79
Raw formation energy, eV per atom: 0.790

[21]
CuBr4N2O2: optimized geometry, PBE.

abc: 8.8163 8.8163 6.2357
angles: 90.00 90.00 90.00
Closest atoms and distances in Å follow each position.
Positions (direct):
Cu: 0.0000 0.0000 0.0000  2 O 1.88
Cu: 0.5000 0.5000 0.5000  2 O 1.88
Br: 0.1894 0.1894 0.0000  1 Cu 2.36
Br: 0.8106 0.8106 0.0000  1 Cu 2.36
Br: 0.3106 0.6894 0.5000  1 Cu 2.36
Br: 0.6894 0.3106 0.5000  1 Cu 2.36
Br: 0.3671 0.6329 0.0000  2 O 2.07
Br: 0.6329 0.3671 0.0000  2 O 2.07
Br: 0.8671 0.8671 0.5000  2 O 2.07
Br: 0.1329 0.1329 0.5000  2 O 2.07
N: 0.0000 0.5000 0.2500  2 N 3.12
N: 0.0000 0.5000 0.7500  2 N 3.12
N: 0.5000 0.0000 0.2500  2 N 3.12
N: 0.5000 0.0000 0.7500  2 N 3.12
O: 0.0000 0.0000 0.3021  1 Cu 1.88, 2 Br 2.07
O: 0.0000 0.0000 0.6979  1 Cu 1.88, 2 Br 2.07
O: 0.5000 0.5000 0.8021  1 Cu 1.88, 2 Br 2.07
O: 0.5000 0.5000 0.1979  1 Cu 1.88, 2 Br 2.07

Computed properties:
D(E_F), states/eV/cell: 7.91
Raw formation energy, eV per atom: 1.316
Excess energy over the best structure of this formula in the dataset, meV per atom: 156

[22]
CuBrNO2: optimized geometry, PBE.

abc: 3.9888 3.9888 3.8317
angles: 90.00 90.00 90.00
Closest atoms and distances in Å follow each position.
Positions (direct):
O: 0.0000 0.5000 0.0000  2 Br 1.99
O: 0.5000 0.0000 0.0000  2 Br 1.99
Cu: 0.5000 0.5000 0.5000  8 O 2.77, 4 N 2.82
Br: 0.0000 0.0000 0.0000  2 N 1.92, 4 O 1.99
N: 0.0000 0.0000 0.5000  2 Br 1.92

Computed properties:
D(E_F), states/eV/cell: 3.20
Raw formation energy, eV per atom: 1.474

[23]
CuBr4N2O2: optimized geometry, PBE.

abc: 7.3659 7.3659 7.3659
angles: 109.58 109.58 109.26
Closest atoms and distances in Å follow each position.
Positions (direct):
Cu: 0.0000 0.0000 0.0000  4 Br 2.28
Br: 0.1900 0.1900 0.3799  1 Cu 2.28
Br: 0.8100 0.8100 0.6201  1 Cu 2.28
Br: 0.1900 0.8100 0.0000  1 Cu 2.28
Br: 0.8100 0.1900 0.0000  1 Cu 2.28
N: 0.2500 0.7500 0.5000  8 Br 3.75
N: 0.7500 0.2500 0.5000  8 Br 3.75
O: 0.4277 0.4277 0.0000  1 O 1.23
O: 0.5723 0.5723 0.0000  1 O 1.23

Computed properties:
D(E_F), states/eV/cell: 1.33
Raw formation energy, eV per atom: 1.160
Excess energy over the best structure of this formula in the dataset, meV per atom: 0

[24]
CuBrNO2: optimized geometry, PBE.

abc: 3.7390 3.7390 4.0382
angles: 90.00 90.00 90.00
Closest atoms and distances in Å follow each position.
Positions (direct):
O: 0.0000 0.5000 0.0000  2 Cu 1.87
O: 0.5000 0.0000 0.0000  2 Cu 1.87
Cu: 0.0000 0.0000 0.0000  4 O 1.87, 2 N 2.02
Br: 0.5000 0.5000 0.5000  4 N 2.64, 8 O 2.75
N: 0.0000 0.0000 0.5000  2 Cu 2.02

Computed properties:
D(E_F), states/eV/cell: 4.34
Raw formation energy, eV per atom: 1.165

[25]
CuOs2BrN: optimized geometry, PBE.

abc: 3.8046 7.8027 3.8046
angles: 90.00 90.00 90.00
Closest atoms and distances in Å follow each position.
Positions (direct):
Os: 0.0000 0.0000 0.5000  2 N 1.90
Os: 0.5000 0.0000 0.0000  2 N 1.90
Cu: 0.0000 0.5000 0.0000  4 Br 2.69
Br: 0.5000 0.5000 0.5000  4 Cu 2.69
N: 0.0000 0.0000 0.0000  4 Os 1.90

Computed properties:
D(E_F), states/eV/cell: 5.08
Raw formation energy, eV per atom: 1.015